Entry from Alexandria via LeMat-Bulk: a geometry-optimized Pm3Ag4Au4 structure (GGA-PBE).

a = 3.5525 Å, b = 4.6129 Å, c = 15.3815 Å
α = 98.62°, β = 96.52°, γ = 90.01°
Last column: nearest neighbours and their distance in Å.
Space group P-1 (No. 2)
Inequivalent atoms, fractional coordinates:
Pm 0.0000 0.0000 0.0000 (multiplicity 1)  8 Au 3.23, 4 Ag 3.35-3.36, 2 Pm 3.55
Pm 0.1423 0.6412 0.2836 (multiplicity 2)  6 Au 3.18-3.39, 6 Ag 3.24-3.47, 2 Pm 3.55
Ag 0.2598 0.2600 0.5196 (multiplicity 2)  4 Au 2.85-2.88, 4 Ag 2.97
Ag 0.4053 0.9061 0.8114 (multiplicity 2)  3 Au 2.72-2.73
Au 0.3142 0.8160 0.6305 (multiplicity 2)  5 Ag 2.73-2.88
Au 0.4538 0.4541 0.9073 (multiplicity 2)  2 Ag 2.72, 1 Au 2.80

Computed properties:
Its formation enthalpy at 0 K is -466 meV/atom. As for the size of the total moment: 0.00 μB/f.u.